*w*
## TlCu2Hg (GGA-PBEsol)

Data for TlCu2Hg after structural relaxation.

Cell and atoms, written as POSCAR:
```
TlCu2Hg
1.0
3.114 0.000 0.000
0.000 3.114 0.000
0.000 0.000 7.304
Tl Cu Hg
1 2 1
direct
0.000 0.000 0.000
0.000 0.000 0.419
0.500 0.500 0.264
0.500 0.500 0.648
```

Values from the calculation:
For the total magnetization, the calculation gives 0.00 Bohr magnetons per cell. The density of states at the Fermi level is 0.300 states/eV per atom. Its space group is P4mm.

*x*
## TlCu2Hg (GGA-PBEsol)

Data for TlCu2Hg after structural relaxation.

Cell and atoms, written as POSCAR:
```
TlCu2Hg
1.0
1.551 0.895 8.734
-1.551 0.895 8.734
0.000 -1.791 8.734
Tl Cu Hg
1 2 1
direct
0.000 0.000 0.000
0.481 0.481 0.481
0.751 0.751 0.751
0.225 0.225 0.225
```

Values from the calculation:
For the total magnetization, the calculation gives 0.00 Bohr magnetons per cell. The density of states at the Fermi level is 0.306 states/eV per atom. Its space group is R3m.

Which structure is most stable, and how do the rest compare? From most to least stable: *w*, *x*.